## Dy3ZrN4 (PBE)

Data for a relaxed structure of Dy3ZrN4.

The structure in POSCAR format:
```
Dy3ZrN4
1.0
4.8255 0.0000 0.0000
0.0000 4.8255 0.0000
0.0000 0.0000 4.8255
Dy Zr N
3 1 4
Cartesian
0.0000 0.0000 2.4127
0.0000 2.4127 0.0000
2.4127 0.0000 0.0000
2.4127 2.4127 2.4127
0.0000 0.0000 0.0000
0.0000 2.4127 2.4127
2.4127 0.0000 2.4127
2.4127 2.4127 0.0000
```

ΔE_f (raw) = -1.69 eV per atom
space group = No. 221
total moment = 0.0 μB/f.u.
N(E_F) = 1.8 states/eV/f.u.

=====

## Dy2Zr3N4 (PBE)

Data for a relaxed structure of Dy2Zr3N4.

The structure in POSCAR format:
```
Dy2Zr3N4
1.0
5.5317 -1.6576 0.0000
5.5317 1.6576 0.0000
-3.9177 0.0000 7.2361
Dy Zr N
2 3 4
Cartesian
-0.4074 0.0000 2.8338
7.5531 0.0000 4.4023
2.4742 0.0000 1.3149
5.5317 0.0000 0.0000
4.6716 0.0000 5.9211
-2.4135 0.0000 6.5491
0.5246 0.0000 5.1317
6.6211 0.0000 2.1044
9.5593 0.0000 0.6869
```

ΔE_f (raw) = -1.51 eV per atom
space group = No. 12
total moment = 0.0 μB/f.u.
N(E_F) = 3.8 states/eV/f.u.

=====

## DyZr5N5 (PBE)

Data for a relaxed structure of DyZr5N5.

The structure in POSCAR format:
```
DyZr5N5
1.0
5.2083 -2.3418 0.0000
5.2083 2.3418 0.0000
-2.0994 0.0000 6.2423
Dy Zr N
1 5 5
Cartesian
0.0000 0.0000 0.0000
-1.0497 0.0000 3.1211
3.0848 0.0000 0.9934
2.0097 0.0000 4.1805
6.3074 0.0000 2.0618
5.2323 0.0000 5.2489
0.0324 0.0000 5.1832
1.0614 0.0000 2.1278
5.2083 0.0000 0.0000
7.2557 0.0000 4.1145
8.2847 0.0000 1.0591
```

ΔE_f (raw) = -1.57 eV per atom
space group = No. 12
total moment = 0.0 μB/f.u.
N(E_F) = 3.6 states/eV/f.u.

=====

## Dy4Zr3N8 (PBE)

Data for a relaxed structure of Dy4Zr3N8.

The structure in POSCAR format:
```
Dy4Zr3N8
1.0
4.7226 -4.7490 0.0000
4.7226 4.7490 0.0000
-4.6713 0.0000 4.7639
Dy Zr N
4 3 8
Cartesian
0.0000 0.0000 0.0000
2.3613 2.3745 0.0000
2.3613 -2.3745 0.0000
2.3869 0.0000 2.3820
0.0256 2.3745 2.3820
0.0256 -2.3745 2.3820
4.7226 0.0000 0.0000
4.7226 2.3313 0.0000
2.3869 2.3137 2.3820
0.0628 0.0000 2.4447
2.4721 0.0000 0.0951
2.3017 0.0000 4.6688
4.7110 0.0000 2.3192
2.3869 -2.3137 2.3820
4.7226 -2.3313 0.0000
```

ΔE_f (raw) = -1.40 eV per atom
space group = No. 12
total moment = 0.0 μB/f.u.
N(E_F) = 4.8 states/eV/f.u.

=====

## DyZr3N4 (PBE)

Data for a relaxed structure of DyZr3N4.

The structure in POSCAR format:
```
DyZr3N4
1.0
4.6792 0.0000 0.0000
0.0000 4.6792 0.0000
0.0000 0.0000 4.6792
Dy Zr N
1 3 4
Cartesian
0.0000 0.0000 0.0000
0.0000 2.3396 2.3396
2.3396 0.0000 2.3396
2.3396 2.3396 0.0000
0.0000 0.0000 2.3396
0.0000 2.3396 0.0000
2.3396 0.0000 0.0000
2.3396 2.3396 2.3396
```

ΔE_f (raw) = -1.68 eV per atom
space group = No. 221
total moment = 0.0 μB/f.u.
N(E_F) = 2.2 states/eV/f.u.

=====

## DyZrN2 (PBE)

Data for a relaxed structure of DyZrN2.

The structure in POSCAR format:
```
DyZrN2
1.0
3.3177 0.0000 0.0000
-1.6588 2.8732 0.0000
0.0000 0.0000 11.1862
Dy Zr N
2 2 4
Cartesian
0.0000 1.9155 2.7965
1.6588 0.9577 8.3896
0.0000 0.0000 0.0000
0.0000 0.0000 5.5931
0.0000 1.9155 6.8672
0.0000 1.9155 9.9120
1.6588 0.9577 1.2741
1.6588 0.9577 4.3190
```

ΔE_f (raw) = -1.69 eV per atom
space group = No. 194
total moment = 0.0 μB/f.u.
N(E_F) = 1.1 states/eV/f.u.

=====

## Dy3ZrN4 (PBE)

Data for a relaxed structure of Dy3ZrN4.

The structure in POSCAR format:
```
Dy3ZrN4
1.0
6.8347 0.0000 0.0000
0.0000 9.6291 0.0000
0.0000 0.0000 3.4036
Dy Zr N
6 2 8
Cartesian
0.0000 0.0000 0.0000
1.7087 2.4073 1.7018
1.7087 7.2219 1.7018
3.4173 4.8146 0.0000
5.1260 2.4073 1.7018
5.1260 7.2219 1.7018
0.0000 4.8146 0.0000
3.4173 0.0000 0.0000
0.0000 2.4832 0.0000
0.0000 7.1460 0.0000
1.6232 4.8146 1.7018
1.7942 0.0000 1.7018
3.4173 2.3314 0.0000
3.4173 7.2977 0.0000
5.0405 0.0000 1.7018
5.2115 4.8146 1.7018
```

ΔE_f (raw) = -1.73 eV per atom
space group = No. 65
total moment = 0.0 μB/f.u.
N(E_F) = 1.1 states/eV/f.u.

=====

## Na4Dy (PBE)

Data for a relaxed structure of Na4Dy.

The structure in POSCAR format:
```
Na4Dy
1.0
6.5650 0.0000 0.0000
0.0000 6.5650 0.0000
0.0000 0.0000 6.5650
Na Dy
4 1
Cartesian
0.0000 0.0000 0.0000
0.0000 3.2825 3.2825
3.2825 0.0000 3.2825
3.2825 3.2825 0.0000
3.2825 3.2825 3.2825
```

ΔH_f (0 K) = 393.5 kJ/mol of formula units
space group = No. 221
total moment = 0.0 μB/f.u.
N(E_F) = 7.2 states/eV/f.u.

=====

## NaDy5 (PBE)

Data for a relaxed structure of NaDy5.

The structure in POSCAR format:
```
NaDy5
1.0
5.0050 0.0000 0.0000
0.0000 15.2165 0.0000
0.0000 0.0000 5.0128
Na Dy
2 10
Cartesian
0.0000 0.0000 0.0000
2.5025 7.6082 0.0000
0.0000 2.6383 2.5064
0.0000 5.0076 0.0000
0.0000 7.6082 2.5064
0.0000 10.2088 0.0000
0.0000 12.5782 2.5064
2.5025 0.0000 2.5064
2.5025 2.6006 0.0000
2.5025 4.9700 2.5064
2.5025 10.2465 2.5064
2.5025 12.6159 0.0000
```

ΔH_f (0 K) = 102.1 kJ/mol of formula units
space group = No. 65
total moment = 0.0 μB/f.u.
N(E_F) = 8.8 states/eV/f.u.

=====

## NaDy3 (PBE)

Data for a relaxed structure of NaDy3.

The structure in POSCAR format:
```
NaDy3
1.0
7.1895 0.0000 0.0000
-3.5948 6.2263 0.0000
0.0000 0.0000 5.7814
Na Dy
2 6
Cartesian
0.0000 4.1509 1.4454
3.5948 2.0754 4.3361
0.0000 2.0368 4.3361
-1.8308 5.2079 4.3361
1.7639 1.0184 1.4454
1.8308 5.2079 4.3361
5.4256 1.0184 1.4454
3.5948 4.1895 1.4454
```

ΔH_f (0 K) = 116.6 kJ/mol of formula units
space group = No. 194
total moment = 1.4 μB/f.u.
N(E_F) = 6.1 states/eV/f.u.

=====

## Na2Dy (PBE)

Data for a relaxed structure of Na2Dy.

The structure in POSCAR format:
```
Na2Dy
1.0
0.0000 4.5812 4.5812
4.5812 0.0000 4.5812
4.5812 4.5812 0.0000
Na Dy
4 2
Cartesian
0.0000 0.0000 0.0000
2.2906 2.2906 0.0000
2.2906 0.0000 2.2906
0.0000 2.2906 2.2906
3.4359 3.4359 3.4359
5.7265 5.7265 5.7265
```

ΔH_f (0 K) = 96.8 kJ/mol of formula units
space group = No. 227
total moment = 0.0 μB/f.u.
N(E_F) = 1.9 states/eV/f.u.

=====

## NaDy3 (PBE)

Data for a relaxed structure of NaDy3.

The structure in POSCAR format:
```
NaDy3
1.0
7.9595 0.0000 0.0000
0.0000 7.9595 0.0000
0.0000 0.0000 7.9595
Na Dy
4 12
Cartesian
0.0000 0.0000 0.0000
0.0000 3.9798 3.9798
3.9798 0.0000 3.9798
3.9798 3.9798 0.0000
0.0000 0.0000 3.9798
0.0000 3.9798 0.0000
1.9899 1.9899 1.9899
1.9899 1.9899 5.9696
1.9899 5.9696 1.9899
1.9899 5.9696 5.9696
3.9798 0.0000 0.0000
3.9798 3.9798 3.9798
5.9696 1.9899 1.9899
5.9696 1.9899 5.9696
5.9696 5.9696 1.9899
5.9696 5.9696 5.9696
```

ΔH_f (0 K) = 118.5 kJ/mol of formula units
space group = No. 225
total moment = 0.0 μB/f.u.
N(E_F) = 4.5 states/eV/f.u.